(1)
6
Lattice="3.0007 0.0000 0.0000 0.0000 3.0007 0.0000 0.0000 0.0000 11.2001" Properties=species:S:1:pos:R:3 comment="Li2MgGa3 (PBE, relaxed)" sg=P4/mmm ef_ev_per_atom=-0.2314 pbc="T T T"
Li 0.0000 0.0000 1.7619
Li 0.0000 0.0000 9.4383
Mg 0.0000 0.0000 5.6001
Ga 1.5004 1.5004 0.0000
Ga 1.5004 1.5004 3.5372
Ga 1.5004 1.5004 7.6629


(2)
9
Lattice="4.5896 -2.2011 0.0000 4.5896 2.2011 0.0000 -2.0145 0.0000 8.4939" Properties=species:S:1:pos:R:3 comment="Li2Mg4Ga3 (PBE, relaxed)" sg=C2/m ef_ev_per_atom=-0.1609 pbc="T T T"
Li 1.3429 0.0000 2.1628
Li 5.8218 0.0000 6.3311
Mg -0.4214 0.0000 7.6126
Mg 2.9415 0.0000 5.6173
Mg 4.2231 0.0000 2.8765
Mg 7.5860 0.0000 0.8813
Ga 0.1909 0.0000 4.8238
Ga 4.5896 0.0000 0.0000
Ga 6.9738 0.0000 3.6700